The following is a PBE calculation of an optimized crystal structure of Sc3Ni4, from Alexandria.

Lattice parameters (Å, degrees): 3.260 3.260 20.702 90.00 90.00 90.00
Space group I4/mmm (No. 139)
Asymmetric unit:
Sc: 0.000 0.000 0.000 [2 per cell]
Sc: 0.000 0.000 0.309 [4 per cell]
Ni: 0.000 0.000 0.135 [4 per cell]
Ni: 0.000 0.000 0.432 [4 per cell]

Values from the calculation:
offset from the most stable computed form: 0.1964 eV/atom
ΔE_f: -0.268 eV/atom
raw total energy: -6.285 eV/atom
density: 5.58 g/cm³

The following is a PBE calculation of an optimized crystal structure of ScNi2Se, from Alexandria.

Lattice parameters (Å, degrees): 7.489 3.896 4.653 90.00 115.16 90.00
Space group Cm (No. 8)
Asymmetric unit:
Sc: 0.000 0.000 0.000 [2 per cell]
Ni: 0.076 0.500 0.666 [2 per cell]
Ni: 0.273 0.500 0.308 [2 per cell]
Se: 0.248 0.000 0.611 [2 per cell]

Values from the calculation:
raw total energy: -5.829 eV/atom
density: 6.52 g/cm³

The following is a PBE calculation of an optimized crystal structure of Sc2NiSe, from Alexandria.

Lattice parameters (Å, degrees): 3.509 3.966 10.330 90.00 90.00 90.00
Space group Imm2 (No. 44)
Asymmetric unit:
Sc: 0.000 0.000 0.000 [2 per cell]
Sc: 0.000 0.500 0.230 [2 per cell]
Ni: 0.000 0.000 0.482 [2 per cell]
Se: 0.000 0.500 0.797 [2 per cell]

Values from the calculation:
raw total energy: -6.214 eV/atom
density: 5.26 g/cm³

The following is a PBE calculation of an optimized crystal structure of ScNi2Se, from Alexandria.

Lattice parameters (Å, degrees): 3.542 3.993 8.303 90.00 90.00 90.00
Space group Immm (No. 71)
Asymmetric unit:
Sc: 0.000 0.000 0.000 [2 per cell]
Ni: 0.000 0.500 0.239 [4 per cell]
Se: 0.000 0.000 0.500 [2 per cell]

Values from the calculation:
raw total energy: -5.793 eV/atom
density: 6.82 g/cm³

The following is a PBE calculation of an optimized crystal structure of ScNiSe, from Alexandria.

Lattice parameters (Å, degrees): 6.159 6.159 6.159 90.00 90.00 90.00
Space group F-43m (No. 216)
Asymmetric unit:
Sc: 0.000 0.000 0.000 [4 per cell]
Ni: 0.250 0.250 0.250 [4 per cell]
Se: 0.250 0.250 0.750 [4 per cell]

Values from the calculation:
offset from the most stable computed form: 0.4340 eV/atom
raw total energy: -5.683 eV/atom
density: 5.19 g/cm³

The following is a PBE calculation of an optimized crystal structure of Sc2NiSe, from Alexandria.

Lattice parameters (Å, degrees): 3.6921 3.6921 19.6605 90.00 90.00 120.00
Space group R-3m (No. 166, hexagonal axes)
Asymmetric unit:
Sc: 0.0000 0.0000 0.2430 [6 per cell]
Ni: 0.0000 0.0000 0.5000 [3 per cell]
Se: 0.0000 0.0000 0.0000 [3 per cell]

Values from the calculation:
raw total energy: -6.387 eV/atom
density: 4.88 g/cm³

The following is a PBE calculation of an optimized crystal structure of ScNiSe2, from Alexandria.

Lattice parameters (Å, degrees): 3.882 5.134 7.220 90.00 90.00 90.00
Space group Immm (No. 71)
Asymmetric unit:
Sc: 0.000 0.000 0.000 [2 per cell]
Ni: 0.000 0.000 0.500 [2 per cell]
Se: 0.000 0.500 0.203 [4 per cell]

Values from the calculation:
raw total energy: -5.466 eV/atom
density: 6.04 g/cm³

The following is a PBE calculation of an optimized crystal structure of ScNiSe2, from Alexandria.

Lattice parameters (Å, degrees): 3.5618 3.5618 23.5413 90.00 90.00 120.00
Space group R-3m (No. 166, hexagonal axes)
Asymmetric unit:
Sc: 0.0000 0.0000 0.0000 [3 per cell]
Ni: 0.0000 0.0000 0.5000 [3 per cell]
Se: 0.0000 0.0000 0.1117 [6 per cell]

Values from the calculation:
raw total energy: -5.092 eV/atom
density: 5.04 g/cm³

The following is a PBE calculation of an optimized crystal structure of ScNiSe2, from Alexandria.

Lattice parameters (Å, degrees): 6.536 6.536 6.536 90.00 90.00 90.00
Space group Fm-3m (No. 225)
Asymmetric unit:
Sc: 0.000 0.000 0.000 [4 per cell]
Ni: 0.000 0.000 0.500 [4 per cell]
Se: 0.250 0.250 0.250 [8 per cell]

Values from the calculation:
raw total energy: -5.384 eV/atom
density: 6.22 g/cm³

The following is a PBE calculation of an optimized crystal structure of Sc2NiSe, from Alexandria.

Lattice parameters (Å, degrees): 3.4586 3.4586 24.7021 90.00 90.00 120.00
Space group R-3m (No. 166, hexagonal axes)
Asymmetric unit:
Sc: 0.0000 0.0000 0.0960 [6 per cell]
Ni: 0.0000 0.0000 0.0000 [3 per cell]
Se: 0.0000 0.0000 0.5000 [3 per cell]

Values from the calculation:
raw total energy: -5.723 eV/atom
density: 4.43 g/cm³

The following is a PBE calculation of an optimized crystal structure of Sc2NiSe, from Alexandria.

Lattice parameters (Å, degrees): 6.537 6.564 3.295 90.00 90.00 90.00
Space group Cmmm (No. 65)
Asymmetric unit:
Sc: 0.250 0.250 0.000 [4 per cell]
Ni: 0.000 0.000 0.500 [2 per cell]
Se: 0.000 0.500 0.500 [2 per cell]

Values from the calculation:
raw total energy: -6.223 eV/atom
density: 5.35 g/cm³

The following is a PBE calculation of an optimized crystal structure of ScNi2Se, from Alexandria.

Lattice parameters (Å, degrees): 3.9935 3.9935 13.3852 90.00 90.00 120.00
Space group R-3m (No. 166, hexagonal axes)
Asymmetric unit:
Sc: 0.0000 0.0000 0.0000 [3 per cell]
Ni: 0.0000 0.0000 0.2130 [6 per cell]
Se: 0.0000 0.0000 0.5000 [3 per cell]

Values from the calculation:
raw total energy: -5.684 eV/atom
density: 6.50 g/cm³